Entry 1:
Here is a geometry-optimized SrHgSe structure from Alexandria. Energies are from PBE.

abc: 4.1520 5.8952 15.1430
angles: 142.00 90.00 110.62
Last column: nearest neighbours and their distance in Å.
Fractional coordinates of all 6 atoms:
Se 0.9446 0.8892 0.8536  5 Sr 3.04-3.23, 2 Hg 3.27
Se 0.0554 0.1108 0.1464  5 Sr 3.04-3.23, 2 Hg 3.27
Hg 0.7937 0.5873 0.4307  1 Hg 3.01, 2 Se 3.27
Hg 0.2063 0.4127 0.5693  1 Hg 3.01, 2 Se 3.27
Sr 0.7906 0.5813 0.1558  5 Se 3.04-3.23
Sr 0.2094 0.4187 0.8442  5 Se 3.04-3.23

Output
Electronic total energy = -17.46 eV per cell
Total magnetic moment = 0.00 Bohr magnetons per cell
Energy above the lowest structure with this stoichiometry = 192 meV/atom
SG = No. 12



Entry 2:
Here is a geometry-optimized SrHg2Se structure from Alexandria. Energies are from PBE.

abc: 4.2685 4.2685 8.5017
angles: 90.00 90.00 90.00
Last column: nearest neighbours and their distance in Å.
Fractional coordinates of all 4 atoms:
Hg 0.0000 0.0000 0.0353  1 Se 3.34, 4 Hg 3.35
Hg 0.5000 0.5000 0.2069  4 Hg 3.35, 1 Sr 3.47
Se 0.0000 0.0000 0.6426  4 Sr 3.03, 1 Hg 3.34
Sr 0.5000 0.5000 0.6152  4 Se 3.03

Output
Electronic total energy = -9.03 eV per cell
Total magnetic moment = 0.00 Bohr magnetons per cell
SG = No. 99



Entry 3:
Here is a geometry-optimized SrHgSe structure from Alexandria. Energies are from PBE.

abc: 5.6183 5.6183 6.3232
angles: 90.00 90.00 120.00
Last column: nearest neighbours and their distance in Å.
Fractional coordinates of all 6 atoms:
Sr 0.3333 0.6667 0.2500  5 Se 3.16-3.24
Sr 0.6667 0.3333 0.7500  5 Se 3.16-3.24
Hg 0.0000 0.0000 0.0000  2 Hg 3.16
Hg 0.0000 0.0000 0.5000  2 Hg 3.16
Se 0.3333 0.6667 0.7500  5 Sr 3.16-3.24
Se 0.6667 0.3333 0.2500  5 Sr 3.16-3.24

Output
Electronic total energy = -18.30 eV per cell
Total magnetic moment = 0.00 Bohr magnetons per cell
Energy above the lowest structure with this stoichiometry = 53 meV/atom
SG = No. 194



Entry 4:
Here is a geometry-optimized SrHgSe2 structure from Alexandria. Energies are from PBE.

abc: 7.2967 7.2967 4.4284
angles: 95.98 95.98 33.00
Last column: nearest neighbours and their distance in Å.
Fractional coordinates of all 4 atoms:
Hg 0.7958 0.7958 0.6842  3 Se 2.58-2.67
Se 0.9702 0.9702 0.9417  1 Hg 2.58
Se 0.2029 0.2029 0.4100  2 Hg 2.67
Sr 0.5310 0.5310 0.4640  6 Se 3.14-3.20

Output
Electronic total energy = -13.04 eV per cell
Total magnetic moment = 0.00 Bohr magnetons per cell
SG = No. 8



Entry 5:
Here is a geometry-optimized Sr2HgSe structure from Alexandria. Energies are from PBE.

abc: 6.6175 6.6175 4.8002
angles: 89.99 89.99 38.57
Last column: nearest neighbours and their distance in Å.
Fractional coordinates of all 4 atoms:
Hg 0.4771 0.4771 0.6250  7 Sr 3.27-3.61, 2 Se 3.58
Se 0.2641 0.2641 0.1249  5 Sr 3.16-3.25
Sr 0.0115 0.0115 0.1251  1 Se 3.16, 4 Hg 3.27
Sr 0.7472 0.7472 0.6250  4 Se 3.25, 3 Hg 3.37-3.61

Output
Electronic total energy = -11.31 eV per cell
Total magnetic moment = 0.00 Bohr magnetons per cell
Energy above the lowest structure with this stoichiometry = 108 meV/atom
SG = No. 38



Entry 6:
Here is a geometry-optimized SrHg2Se structure from Alexandria. Energies are from PBE.

abc: 4.3668 4.3668 6.1435
angles: 90.00 90.00 90.00
Last column: nearest neighbours and their distance in Å.
Fractional coordinates of all 4 atoms:
Hg 0.0000 0.0000 0.0000  4 Hg 3.09
Hg 0.5000 0.5000 0.0000  4 Hg 3.09
Se 0.5000 0.0000 0.5000  4 Sr 3.09
Sr 0.0000 0.5000 0.5000  4 Se 3.09

Output
Electronic total energy = -9.18 eV per cell
Total magnetic moment = 0.00 Bohr magnetons per cell
SG = No. 123



Entry 7:
Here is a geometry-optimized SrHgSe2 structure from Alexandria. Energies are from PBE.

abc: 8.2698 8.2698 8.2698
angles: 34.19 34.19 34.19
Last column: nearest neighbours and their distance in Å.
Fractional coordinates of all 4 atoms:
Sr 0.5000 0.5000 0.5000  6 Se 3.15
Hg 0.0000 0.0000 0.0000  2 Se 2.46
Se 0.8945 0.8945 0.8945  1 Hg 2.46
Se 0.1055 0.1055 0.1055  1 Hg 2.46

Output
Electronic total energy = -13.26 eV per cell
Total magnetic moment = 0.00 Bohr magnetons per cell
SG = No. 166



Entry 8:
Here is a geometry-optimized SrHg2Se structure from Alexandria. Energies are from PBE.

abc: 4.2762 4.2762 6.3145
angles: 90.00 90.00 90.04
Last column: nearest neighbours and their distance in Å.
Fractional coordinates of all 4 atoms:
Hg 0.0000 0.0000 0.0185  1 Hg 2.92
Hg 0.0000 0.0000 0.4815  1 Hg 2.92
Se 0.5000 0.5000 0.2500  2 Sr 3.16, 8 Hg 3.36
Sr 0.5000 0.5000 0.7500  2 Se 3.16, 8 Hg 3.47

Output
Electronic total energy = -7.98 eV per cell
Total magnetic moment = 0.00 Bohr magnetons per cell
SG = No. 123